1.
SCAN K2TlP, PBEsol geometry; crystal system = trigonal; ΔH_f (0 K) = 133 meV/atom; spin magnetization = 0.00 μB per cell; uncorrected energy = -24.721 eV/atom
1.0
-1.6232 2.0424 -2.3552
-3.4747 -0.2652 -0.4577
-3.3232 8.3410 6.9010
K P Tl
2 1 1
direct
0.2377 0.2377 0.2869
0.7623 0.7623 0.7131
0.5000 0.5000 0.5000
0.0000 0.0000 0.0000

---

2.
SCAN KTl2P, PBEsol geometry; crystal system = tetragonal; ΔH_f (0 K) = 54 meV/atom; spin magnetization = 0.00 μB per cell; uncorrected energy = -40.807 eV/atom
1.0
-1.9299 -1.2823 4.0046
4.0661 -1.6917 1.4178
1.1162 4.2830 1.9093
K P Tl
1 1 2
direct
0.5000 0.5000 0.5000
0.0000 0.0000 0.5000
0.0000 0.5000 0.0000
0.5000 0.0000 0.0000